The following is a DFT calculation (GGA-PBE) of a relaxed MgScH3 crystal.

Output
Distance to the lowest polymorph of the same formula ... 0 meV/atom
D(E_F) ... 1.4 states/eV/cell

Structure (POSCAR):
```
MgScH3
1.0
3.840 0.000 0.000
0.000 3.840 0.000
0.000 0.000 3.840
Sc H Mg
1 3 1
Cartesian
0.000 0.000 0.000
0.000 1.920 0.000
0.000 0.000 1.920
1.920 0.000 0.000
1.920 1.920 1.920
```